# 1
Entry from Alexandria: a relaxed structure of BaSrTe (GGA-PBE).

The structure in extended XYZ format:
```
3
Lattice="4.6972 0.0000 0.0000 -2.3486 4.0679 0.0000 0.0000 0.0000 7.9372" Properties=species:S:1:pos:R:3 pbc="T T T"
Ba 0.0000 0.0000 0.0000
Sr 2.3486 1.3560 3.8002
Te 0.0000 2.7119 5.7523
```

Output
Energy (eV/atom): -3.302
Distance to the lowest polymorph of the same formula (eV per atom): 0.000
Energy relative to the elements, uncorrected (kJ/mol of formula units): -305



# 2
Entry from Alexandria: a relaxed structure of Ba2SrTe (GGA-PBE).

The structure in extended XYZ format:
```
4
Lattice="4.2334 -4.3296 0.0000 4.2334 4.3296 0.0000 0.0000 0.0000 4.8081" Properties=species:S:1:pos:R:3 pbc="T T T"
Ba 2.1167 2.1648 0.0000
Ba 2.1167 -2.1648 0.0000
Sr 0.0000 0.0000 2.4041
Te 4.2334 0.0000 2.4041
```

Output
Energy (eV/atom): -2.724
Energy relative to the elements, uncorrected (kJ/mol of formula units): -215



# 3
Entry from Alexandria: a relaxed structure of BaSr2Te (GGA-PBE).

The structure in extended XYZ format:
```
4
Lattice="5.3010 0.0000 0.0000 0.0000 4.5926 0.0000 -2.6458 0.0000 8.0737" Properties=species:S:1:pos:R:3 pbc="T T T"
Ba 0.0000 0.0000 0.0000
Sr 0.0088 2.2963 5.5142
Sr 2.6587 0.0000 3.3351
Te 2.6504 2.2963 0.7958
```

Output
Energy (eV/atom): -2.848
Energy relative to the elements, uncorrected (kJ/mol of formula units): -286



# 4
Entry from Alexandria: a relaxed structure of BaSrTe (GGA-PBE).

The structure in extended XYZ format:
```
6
Lattice="2.8220 1.6293 9.3206 -2.8220 1.6293 9.3206 0.0000 -3.2585 9.3206" Properties=species:S:1:pos:R:3 pbc="T T T"
Ba 0.0000 0.0000 3.5968
Ba 0.0000 0.0000 24.3650
Sr 0.0000 0.0000 10.5512
Sr 0.0000 0.0000 17.4106
Te 0.0000 0.0000 7.2165
Te 0.0000 0.0000 20.7453
```

Output
Energy (eV/atom): -3.142
Distance to the lowest polymorph of the same formula (eV per atom): 0.160
Energy relative to the elements, uncorrected (kJ/mol of formula units): -259